# 1
GGA-PBE NiAg2Rh, relaxed; E above lowest polymorph = 0.185 eV per atom; density of states at the Fermi level = 1.769 states/eV/atom; spin magnetization = 2.1 μB per cell; crystal system = tetragonal; E = -4.3746 eV per atom; calculated formation energy = 0.33 eV per atom; SG = I4/mmm (139)
1.0
3.855 0.000 0.000
0.000 3.855 0.000
0.000 0.000 8.238
Ni Ag Rh
2 4 2
direct
0.000 0.000 0.000
0.500 0.500 0.500
0.000 0.500 0.250
0.000 0.500 0.750
0.500 0.000 0.250
0.500 0.000 0.750
0.000 0.000 0.500
0.500 0.500 0.000

---

# 2
GGA-PBE AlCu2P, relaxed; E above lowest polymorph = 0.044 eV per atom; density of states at the Fermi level = 0.408 states/eV/atom; spin magnetization = 0.0 μB per cell; crystal system = monoclinic; E = -4.3214 eV per atom; calculated formation energy = 0.01 eV per atom; SG = Pm (6)
1.0
2.885 0.000 0.000
0.000 4.319 0.000
-1.416 0.000 4.524
Al Cu P
1 2 1
direct
0.000 0.000 0.000
0.280 0.000 0.551
0.432 0.500 0.859
0.158 0.500 0.312

---

# 3
GGA-PBE Rb4DyNp3O12, relaxed; density of states at the Fermi level = 0.323 states/eV/atom; spin magnetization = 4.0 μB per cell; crystal system = cubic; E = -8.0395 eV per atom; formation energy without anion corrections = -2.6998 eV/atom; SG = Im-3m (229)
1.0
-4.331 4.331 4.331
4.331 -4.331 4.331
4.331 4.331 -4.331
Rb Dy Np O
4 1 3 12
direct
0.000 0.000 0.500
0.000 0.500 0.000
0.500 0.000 0.000
0.500 0.500 0.500
0.000 0.000 0.000
0.000 0.500 0.500
0.500 0.000 0.500
0.500 0.500 0.000
0.000 0.267 0.267
0.000 0.733 0.733
0.250 0.500 0.750
0.250 0.750 0.500
0.267 0.000 0.267
0.267 0.267 0.000
0.500 0.250 0.750
0.500 0.750 0.250
0.733 0.000 0.733
0.733 0.733 0.000
0.750 0.250 0.500
0.750 0.500 0.250